No. 1
Density functional theory data (PBE) for crystalline AcNdSmHo at its relaxed geometry.

Summary:
DFT total energy: -4.376 eV per atom
ΔE_f: 0.167 eV/atom
Theoretical density: 7.84 g/cm3

Cell: 5.9031 5.9031 5.9031 Å, 60.00 60.00 60.00°
With the nearest neighbours (Å) after each atom.
Atoms (fractional coordinates):
Sm 0.7500 0.7500 0.7500  4 Ac 3.61, 4 Ho 3.61
Nd 0.2500 0.2500 0.2500  4 Ac 3.61, 4 Ho 3.61
Ho 0.0000 0.0000 0.0000  4 Nd 3.61, 4 Sm 3.61
Ac 0.5000 0.5000 0.5000  4 Nd 3.61, 4 Sm 3.61


No. 2
Density functional theory data (PBE) for crystalline NaSbO2 at its relaxed geometry.

Summary:
Energy relative to the elements, uncorrected: -0.843 eV per atom
DFT total energy: -4.683 eV per atom
Theoretical density: 5.39 g/cm3

Cell: 2.9935 2.9935 6.0784 Å, 90.00 90.00 90.00°
With the nearest neighbours (Å) after each atom.
Atoms (fractional coordinates):
Sb 0.5000 0.5000 0.0000  8 O 2.52
O 0.0000 0.0000 0.2237  4 Sb 2.52, 4 Na 2.70, 1 O 2.72
O 0.0000 0.0000 0.7763  4 Sb 2.52, 4 Na 2.70, 1 O 2.72
Na 0.5000 0.5000 0.5000  8 O 2.70, 4 Na 2.99